[1]
This record from Alexandria describes crystalline BaTaGa2W at its relaxed geometry. The functional is PBE.

Unit cell a=5.106 b=5.106 c=4.925 alpha=90.00 beta=90.00 gamma=90.00
Element x y z (fractional)
1 Ba 0.000 0.000 0.000
2 Ta 0.500 0.500 0.000
3 Ga 0.000 0.500 0.500
4 Ga 0.500 0.000 0.500
5 W 0.500 0.500 0.500

Results
- space group = P4/mmm, No. 123
- D(E_F) (states/eV per cell) = 3.78
- DFT formation energy (eV/atom) = 0.42
- calculated volume (A^3/atom) = 25.69

[2]
This record from Alexandria describes crystalline KTlInI3 at its relaxed geometry. The functional is PBE.

Unit cell a=10.122 b=4.931 c=12.285 alpha=90.00 beta=99.17 gamma=90.00
Element x y z (fractional)
1 K 0.159 0.250 0.180
2 K 0.841 0.750 0.820
3 Tl 0.348 0.750 0.873
4 Tl 0.652 0.250 0.127
5 In 0.176 0.250 0.615
6 In 0.824 0.750 0.385
7 I 0.103 0.250 0.884
8 I 0.148 0.750 0.426
9 I 0.407 0.750 0.145
10 I 0.593 0.250 0.855
11 I 0.852 0.250 0.574
12 I 0.897 0.750 0.116

Results
- space group = P2_1/m, No. 11
- D(E_F) (states/eV per cell) = 0.00
- calculated volume (A^3/atom) = 50.44
- formation energy without anion corrections (eV per atom) = -0.820

[3]
This record from Alexandria describes crystalline MgNbRe2Ir at its relaxed geometry. The functional is PBE.

Unit cell a=4.471 b=4.471 c=4.368 alpha=90.00 beta=90.00 gamma=90.00
Element x y z (fractional)
1 Mg 0.000 0.000 0.000
2 Nb 0.500 0.500 0.500
3 Re 0.000 0.500 0.000
4 Re 0.500 0.000 0.000
5 Ir 0.000 0.000 0.500

Results
- space group = P4/mmm, No. 123
- D(E_F) (states/eV per cell) = 4.27
- DFT formation energy (eV/atom) = 1.75
- calculated volume (A^3/atom) = 17.47

[4]
This record from Alexandria describes crystalline Ho6BiSb5 at its relaxed geometry. The functional is PBE.

Unit cell a=7.591 b=7.591 c=7.585 alpha=99.60 beta=99.60 gamma=119.98
Element x y z (fractional)
1 Ho 0.078 0.416 0.748
2 Ho 0.246 0.246 0.251
3 Ho 0.416 0.078 0.748
4 Ho 0.584 0.922 0.252
5 Ho 0.754 0.754 0.749
6 Ho 0.922 0.584 0.252
7 Bi 0.500 0.500 0.000
8 Sb 0.000 0.000 0.500
9 Sb 0.167 0.833 0.000
10 Sb 0.335 0.665 0.500
11 Sb 0.665 0.335 0.500
12 Sb 0.833 0.167 0.000

Results
- space group = C2/m, No. 12
- D(E_F) (states/eV per cell) = 2.15
- calculated volume (A^3/atom) = 29.74
- formation energy without anion corrections (eV per atom) = -1.067

[5]
This record from Alexandria describes crystalline MnNiAs6 at its relaxed geometry. The functional is PBE.

Unit cell a=7.244 b=7.244 c=8.368 alpha=124.95 beta=124.95 gamma=70.84
Element x y z (fractional)
1 Mn 0.000 0.500 0.000
2 Mn 0.500 0.000 0.000
3 Ni 0.000 0.500 0.500
4 Ni 0.500 0.000 0.500
5 As 0.149 0.847 0.341
6 As 0.153 0.851 0.659
7 As 0.193 0.506 0.852
8 As 0.342 0.342 0.190
9 As 0.346 0.346 0.497
10 As 0.494 0.807 0.148
11 As 0.506 0.193 0.852
12 As 0.654 0.654 0.503
13 As 0.658 0.658 0.810
14 As 0.807 0.494 0.148
15 As 0.847 0.149 0.341
16 As 0.851 0.153 0.659

Results
- space group = C2/m, No. 12
- D(E_F) (states/eV per cell) = 6.60
- DFT formation energy (eV/atom) = -0.18
- calculated volume (A^3/atom) = 18.44

[6]
This record from Alexandria describes crystalline MnFeAg2 at its relaxed geometry. The functional is PBE.

Unit cell a=2.752 b=4.625 c=5.008 alpha=90.00 beta=95.86 gamma=90.00
Element x y z (fractional)
1 Mn 0.000 0.000 0.000
2 Fe 0.500 0.000 0.500
3 Ag 0.258 0.500 0.747
4 Ag 0.742 0.500 0.253

Results
- excess energy over the best structure of this formula in the dataset (eV per atom) = 0.1700
- space group = P2/m, No. 10
- D(E_F) (states/eV per cell) = 2.93
- DFT formation energy (eV/atom) = 0.43
- calculated volume (A^3/atom) = 15.85

Q: calculated volume of number 5 (MnNiAs6)?
A: 18.44 A^3/atom